A plane-wave DFT calculation with PBE+U was carried out for a relaxed Mg3VF crystal.

Output
DFT total energy ... -16.2 eV per cell
Crystal system ... cubic
Energy relative to the lowest polymorph listed for this composition ... 0.0000 eV per atom

abc: 4.4835 4.4835 4.4835
angles: 90.00 90.00 90.00
Last column: nearest neighbours and their distance in Å.
Space group Pm-3m (No. 221)
Unique sites:
Mg  0.0000  0.0000  0.5000 [3 per cell]  2 F 2.24
V  0.5000  0.5000  0.5000 [1 per cell]  12 Mg 3.17
F  0.0000  0.0000  0.0000 [1 per cell]  6 Mg 2.24